No. 1
A plane-wave DFT calculation with PBE was carried out for a relaxed Li7Tl2Ag2 crystal.

POSCAR file:
```
Li7Tl2Ag2
1.0
3.933 -4.915 0.000
3.933 4.915 0.000
0.000 0.000 6.218
Li Tl Ag
7 2 2
Direct
0.000 0.000 0.000
0.000 0.500 0.271
0.000 0.500 0.729
0.500 0.000 0.271
0.500 0.000 0.729
0.500 0.500 0.262
0.500 0.500 0.738
0.183 0.183 0.500
0.817 0.817 0.500
0.281 0.719 0.000
0.719 0.281 0.000
```

Values from the calculation:
**DOS at the Fermi energy**: 0.310 states/eV per atom
**Total energy**: -2.19 eV/atom

No. 2
A plane-wave DFT calculation with PBE was carried out for a relaxed CaTlRu2 crystal.

POSCAR file:
```
CaTlRu2
1.0
3.027 0.000 0.000
0.000 3.027 0.000
0.000 0.000 8.521
Ca Tl Ru
1 1 2
Direct
0.000 0.000 0.000
0.500 0.500 0.684
0.000 0.000 0.430
0.500 0.500 0.259
```

Values from the calculation:
**DOS at the Fermi energy**: 0.706 states/eV per atom
**Total energy**: -5.54 eV/atom
**ΔE to the lowest computed polymorph**: 0.0 kJ/mol of formula units